The following is a PBE calculation of crystalline KBaNaPb at its relaxed geometry, from Alexandria.

Cell: 5.9787 5.9787 5.9787 Å, 60.00 60.00 60.00°
Fractional coordinates of all 4 atoms:
Pb (0.0000, 0.0000, 0.0000)
Ba (0.7500, 0.7500, 0.7500)
K (0.5000, 0.5000, 0.5000)
Na (0.2500, 0.2500, 0.2500)

Computed properties:
Formation enthalpy at 0 K: -0.250 eV/atom
Fermi-level density of states: 2.321 states/eV/cell

The following is a PBE calculation of crystalline Sc2AsBr at its relaxed geometry, from Alexandria.

Cell: 6.0902 6.0902 7.5025 Å, 66.05 66.05 90.00°
Fractional coordinates of all 8 atoms:
Sc (0.8750, 0.8538, 0.7500)
Sc (0.1462, 0.6250, 0.2500)
Sc (0.3750, 0.3962, 0.7500)
Sc (0.6038, 0.1250, 0.2500)
Br (0.7500, 0.2500, 0.5000)
Br (0.0000, 0.0000, 0.0000)
As (0.5000, 0.5000, 0.0000)
As (0.2500, 0.7500, 0.5000)

Computed properties:
Fermi-level density of states: 6.524 states/eV/cell
VASP energy: -5.513 eV per atom

- Which of these has the lowest Fermi-level density of states?
  KBaNaPb